Crystalline Cr2P3O12 at its relaxed geometry. Source: the Alexandria database, functional GGA+U.

Calculated values
The uncorrected energy is -7.166 eV per atom.

Cell lengths 8.4132, 8.5815, 14.3787 Å; angles 90.00, 124.96, 90.00 degrees
Closest atoms and distances in Å follow each position.
Fractional positions:
1 Cr 0.1293 0.0293 0.3838  6 O 1.92-1.96
2 Cr 0.1293 0.4707 0.8838  6 O 1.92-1.96
3 Cr 0.3679 0.0293 0.1183  6 O 1.88-1.95
4 Cr 0.3679 0.4707 0.6183  6 O 1.88-1.95
5 Cr 0.6321 0.5293 0.3817  6 O 1.88-1.95
6 Cr 0.6321 0.9707 0.8817  6 O 1.88-1.95
7 Cr 0.8707 0.5293 0.1162  6 O 1.92-1.96
8 Cr 0.8707 0.9707 0.6162  6 O 1.92-1.96
9 P 0.0409 0.7477 0.5075  4 O 1.54-1.55
10 P 0.0409 0.7523 0.0075  4 O 1.54-1.55
11 P 0.2468 0.1143 0.8533  4 O 1.53-1.55
12 P 0.2468 0.3857 0.3533  4 O 1.53-1.55
13 P 0.4684 0.6118 0.8569  4 O 1.54-1.55
14 P 0.4684 0.8882 0.3569  4 O 1.54-1.55
15 P 0.5316 0.1118 0.6431  4 O 1.54-1.55
16 P 0.5316 0.3882 0.1431  4 O 1.54-1.55
17 P 0.7532 0.6143 0.6467  4 O 1.53-1.55
18 P 0.7532 0.8857 0.1467  4 O 1.53-1.55
19 P 0.9591 0.2477 0.9925  4 O 1.54-1.55
20 P 0.9591 0.2523 0.4925  4 O 1.54-1.55
21 O 0.0176 0.6315 0.9217  1 P 1.54
22 O 0.0176 0.8685 0.4217  1 P 1.54
23 O 0.0299 0.6792 0.1023  1 P 1.55
24 O 0.0299 0.8208 0.6023  1 P 1.55
25 O 0.0574 0.0207 0.7737  1 P 1.55
26 O 0.0574 0.4793 0.2737  1 P 1.55
27 O 0.1239 0.1295 0.0613  1 P 1.54
28 O 0.1239 0.3705 0.5613  1 P 1.54
29 O 0.2106 0.2090 0.3371  1 P 1.54
30 O 0.2106 0.2910 0.8371  1 P 1.54
31 O 0.2401 0.6689 0.5653  1 P 1.54
32 O 0.2401 0.8311 0.0653  1 P 1.54
33 O 0.3206 0.6065 0.8880  1 P 1.54
34 O 0.3206 0.8935 0.3880  1 P 1.54
35 O 0.3284 0.0600 0.5442  1 P 1.54
36 O 0.3284 0.4400 0.0442  1 P 1.54
37 O 0.3288 0.0636 0.9753  1 P 1.53
38 O 0.3288 0.4364 0.4753  1 P 1.53
39 O 0.3915 0.0769 0.8235  1 P 1.54
40 O 0.3915 0.4231 0.3235  1 P 1.54
41 O 0.3996 0.0037 0.2578  1 P 1.55
42 O 0.3996 0.4963 0.7578  1 P 1.55
43 O 0.4812 0.7215 0.3231  1 P 1.54
44 O 0.4812 0.7785 0.8231  1 P 1.54
45 O 0.5188 0.2215 0.1769  1 P 1.54
46 O 0.5188 0.2785 0.6769  1 P 1.54
47 O 0.6004 0.5037 0.2422  1 P 1.55
48 O 0.6004 0.9963 0.7422  1 P 1.55
49 O 0.6085 0.5769 0.6765  1 P 1.54
50 O 0.6085 0.9231 0.1765  1 P 1.54
51 O 0.6712 0.5636 0.5247  1 P 1.53
52 O 0.6712 0.9364 0.0247  1 P 1.53
53 O 0.6716 0.5600 0.9558  1 P 1.54
54 O 0.6716 0.9400 0.4558  1 P 1.54
55 O 0.6794 0.1065 0.6120  1 P 1.54
56 O 0.6794 0.3935 0.1120  1 P 1.54
57 O 0.7599 0.1689 0.9347  1 P 1.54
58 O 0.7599 0.3311 0.4347  1 P 1.54
59 O 0.7894 0.7090 0.1629  1 P 1.54
60 O 0.7894 0.7910 0.6629  1 P 1.54
61 O 0.8761 0.6295 0.4387  1 P 1.54
62 O 0.8761 0.8705 0.9387  1 P 1.54
63 O 0.9426 0.5207 0.7263  1 P 1.55
64 O 0.9426 0.9793 0.2263  1 P 1.55
65 O 0.9701 0.1792 0.3977  1 P 1.55
66 O 0.9701 0.3208 0.8977  1 P 1.55
67 O 0.9824 0.1315 0.5783  1 P 1.54
68 O 0.9824 0.3685 0.0783  1 P 1.54